Below is crystalline PrNi2BiO6 at its relaxed geometry, with properties calculated at the GGA+U level.

```
data_PrNi2BiO6
_chemical_formula_sum 'Pr3 Ni6 Bi3 O18'
_cell_length_a 5.5677
_cell_length_b 5.5677
_cell_length_c 13.3481
_cell_angle_alpha 90.00
_cell_angle_beta 90.00
_cell_angle_gamma 120.00
_symmetry_space_group_name_H-M 'R 3'
_symmetry_Int_Tables_number 146
_symmetry_space_group_name_Hall 'R 3'
loop_
_atom_site_label
_atom_site_type_symbol
_atom_site_fract_x
_atom_site_fract_y
_atom_site_fract_z
_atom_site_occupancy
Pr1 Pr 0.0000 0.0000 0.0000 1
Ni1 Ni 0.0000 0.0000 0.2554 1
Ni2 Ni 0.0000 0.0000 0.7566 1
Bi1 Bi 0.0000 0.0000 0.4794 1
O1 O 0.0021 0.4132 0.5094 1
O2 O 0.0204 0.5874 0.0164 1
```

Computed properties:
The value obtained for the uncorrected energy is -0.2160 hartree per atom.